# 1
# La4Pm6Dy

Crystalline La4Pm6Dy at its relaxed geometry (PBE, Alexandria).

Relative energy among the computed polymorphs: 0 meV/atom
Calculated formation energy: 266 kJ/mol of formula units
Crystal system: tetragonal
Magnetization: 0.000 μB per atom
Volume: 389.8 Å³/cell
Energy: -50.1 eV per formula unit

abc: 9.7558 9.7558 9.7558
angles: 139.38 139.38 58.79
Closest atoms and distances in Å follow each position.
Atoms (fractional coordinates):
La 0.2126 0.2126 0.6744  1 La 3.12, 3 Pm 3.30-3.35
La 0.4617 0.7874 0.0000  1 La 3.12, 3 Pm 3.30-3.35
La 0.5383 0.5383 0.3256  1 La 3.12, 3 Pm 3.30-3.35
La 0.7874 0.4617 0.0000  1 La 3.12, 3 Pm 3.30-3.35
Pm 0.0000 0.5000 0.5000  4 La 3.30, 2 Dy 3.39
Pm 0.0058 0.6368 0.0000  3 La 3.35-3.52, 1 Dy 3.51, 1 Pm 3.53
Pm 0.3632 0.3632 0.3690  3 La 3.35-3.52, 1 Dy 3.51, 1 Pm 3.53
Pm 0.5000 0.0000 0.5000  4 La 3.30, 2 Dy 3.39
Pm 0.6368 0.0058 0.0000  3 La 3.35-3.52, 1 Dy 3.51, 1 Pm 3.53
Pm 0.9942 0.9942 0.6310  3 La 3.35-3.52, 1 Dy 3.51, 1 Pm 3.53
Dy 0.0000 0.0000 0.0000  8 Pm 3.39-3.51

# 2
# Pm2HfH8

Crystalline Pm2HfH8 at its relaxed geometry (PBE, Alexandria).

Crystal system: orthorhombic
Magnetization: 0.000 μB per atom
Volume: 112.2 Å³/cell
Energy: -51.7 eV per formula unit

abc: 7.3966 7.3966 7.3966
angles: 151.60 144.19 46.32
Closest atoms and distances in Å follow each position.
Atoms (fractional coordinates):
Pm 0.1541 0.1541 0.0000  8 H 2.22-2.42
Pm 0.8459 0.8459 0.0000  8 H 2.22-2.42
Hf 0.5000 0.5000 0.0000  8 H 1.96-2.11
H 0.1422 0.3800 0.7622  1 Hf 1.96, 1 H 2.16
H 0.2654 0.0000 0.2654  2 Hf 2.11, 1 H 2.13
H 0.2654 0.7654 0.5000  2 H 2.31, 4 Pm 2.36-2.52
H 0.3822 0.6200 0.7622  1 Hf 1.96, 1 H 2.16
H 0.6178 0.3800 0.2378  1 Hf 1.96, 1 H 2.16
H 0.7346 0.0000 0.7346  2 Hf 2.11, 1 H 2.13
H 0.7346 0.2346 0.5000  2 H 2.31, 4 Pm 2.36-2.52
H 0.8578 0.6200 0.2378  1 Hf 1.96, 1 H 2.16

# 3
# TiBeFeCo

Crystalline TiBeFeCo at its relaxed geometry (PBE, Alexandria).

Calculated formation energy: -109 kJ/mol of formula units
Crystal system: cubic
Magnetization: 0.173 μB per atom
Volume: 43.9 Å³/cell
Energy: -28.3 eV per formula unit

abc: 3.9588 3.9588 3.9588
angles: 60.00 60.00 60.00
Closest atoms and distances in Å follow each position.
Atoms (fractional coordinates):
Ti 0.0000 0.0000 0.0000  4 Fe 2.42, 4 Co 2.42
Be 0.5000 0.5000 0.5000  4 Fe 2.42, 4 Co 2.42
Fe 0.7500 0.7500 0.7500  4 Ti 2.42, 4 Be 2.42
Co 0.2500 0.2500 0.2500  4 Be 2.42, 4 Ti 2.42

# 4
# Sr2ZnAs

Crystalline Sr2ZnAs at its relaxed geometry (PBE, Alexandria).

Relative energy among the computed polymorphs: 239 meV/atom
Calculated formation energy: -181 kJ/mol of formula units
Crystal system: tetragonal
Magnetization: 0.039 μB per atom
Volume: 133.9 Å³/cell
Energy: -11.2 eV per formula unit

abc: 4.5891 4.5891 6.3567
angles: 90.00 90.00 90.00
Closest atoms and distances in Å follow each position.
Atoms (fractional coordinates):
Sr 0.0000 0.0000 0.0000  2 Zn 3.18, 4 As 3.24
Sr 0.5000 0.5000 0.5000  2 As 3.18, 4 Zn 3.24
Zn 0.0000 0.0000 0.5000  6 Sr 3.18-3.24
As 0.5000 0.5000 0.0000  6 Sr 3.18-3.24

# 5
# Cs2TlInCl4

Crystalline Cs2TlInCl4 at its relaxed geometry (PBE, Alexandria).

Crystal system: monoclinic
Magnetization: 0.000 μB per atom
Volume: 310.5 Å³/cell
Energy: -25.6 eV per formula unit

abc: 8.2549 4.8089 8.3104
angles: 90.00 109.76 90.00
Closest atoms and distances in Å follow each position.
Atoms (fractional coordinates):
Cs 0.0000 0.0000 0.0000  6 Cl 3.48
Cs 0.0000 0.5000 0.5000  6 Cl 3.48-3.49
Tl 0.5000 0.0000 0.5000  6 Cl 3.30
In 0.5000 0.5000 0.0000  6 Cl 3.28-3.29
Cl 0.2704 0.5000 0.2562  1 In 3.29, 2 Tl 3.30, 3 Cs 3.48
Cl 0.2721 0.0000 0.7589  2 In 3.28, 1 Tl 3.30, 3 Cs 3.48-3.49
Cl 0.7279 0.0000 0.2411  2 In 3.28, 1 Tl 3.30, 3 Cs 3.48-3.49
Cl 0.7296 0.5000 0.7438  1 In 3.29, 2 Tl 3.30, 3 Cs 3.48

# 6
# CeThSc3

Crystalline CeThSc3 at its relaxed geometry (PBE, Alexandria).

Relative energy among the computed polymorphs: 0 meV/atom
Calculated formation energy: 28 kJ/mol of formula units
Crystal system: orthorhombic
Magnetization: 0.048 μB per atom
Volume: 538.6 Å³/cell
Energy: -32.1 eV per formula unit

abc: 6.6654 4.8392 16.6978
angles: 90.00 90.00 90.00
Closest atoms and distances in Å follow each position.
Atoms (fractional coordinates):
Ce 0.1092 0.2500 0.1521  10 Sc 3.28-3.37, 2 Th 3.39
Ce 0.3908 0.7500 0.6521  10 Sc 3.28-3.37, 2 Th 3.39
Ce 0.6092 0.2500 0.3479  10 Sc 3.28-3.37, 2 Th 3.39
Ce 0.8908 0.7500 0.8479  10 Sc 3.28-3.37, 2 Th 3.39
Th 0.1364 0.2500 0.5523  8 Sc 3.31-3.40, 2 Ce 3.39, 2 Th 3.49
Th 0.3636 0.7500 0.0523  8 Sc 3.31-3.40, 2 Ce 3.39, 2 Th 3.49
Th 0.6364 0.2500 0.9477  8 Sc 3.31-3.40, 2 Ce 3.39, 2 Th 3.49
Th 0.8636 0.7500 0.4477  8 Sc 3.31-3.40, 2 Ce 3.39, 2 Th 3.49
Sc 0.1049 0.2500 0.3488  3 Ce 3.28-3.36, 3 Th 3.34-3.40, 6 Sc 3.35-3.44
Sc 0.1325 0.2500 0.9504  4 Th 3.31-3.36, 5 Sc 3.32-3.44, 3 Ce 3.37
Sc 0.1474 0.2500 0.7517  7 Sc 3.32-3.39, 1 Th 3.33, 4 Ce 3.35-3.37
Sc 0.3526 0.7500 0.2517  7 Sc 3.32-3.39, 1 Th 3.33, 4 Ce 3.35-3.37
Sc 0.3675 0.7500 0.4504  4 Th 3.31-3.36, 5 Sc 3.32-3.44, 3 Ce 3.37
Sc 0.3951 0.7500 0.8488  3 Ce 3.28-3.36, 3 Th 3.34-3.40, 6 Sc 3.35-3.44
Sc 0.6049 0.2500 0.1512  3 Ce 3.28-3.36, 3 Th 3.34-3.40, 6 Sc 3.35-3.44
Sc 0.6325 0.2500 0.5496  4 Th 3.31-3.36, 5 Sc 3.32-3.44, 3 Ce 3.37
Sc 0.6474 0.2500 0.7483  7 Sc 3.32-3.39, 1 Th 3.33, 4 Ce 3.35-3.37
Sc 0.8526 0.7500 0.2483  7 Sc 3.32-3.39, 1 Th 3.33, 4 Ce 3.35-3.37
Sc 0.8675 0.7500 0.0496  4 Th 3.31-3.36, 5 Sc 3.32-3.44, 3 Ce 3.37
Sc 0.8951 0.7500 0.6512  3 Ce 3.28-3.36, 3 Th 3.34-3.40, 6 Sc 3.35-3.44

# 7
# Sn2Ge2Pb

Crystalline Sn2Ge2Pb at its relaxed geometry (PBE, Alexandria).

Relative energy among the computed polymorphs: 15 meV/atom
Calculated formation energy: 82 kJ/mol of formula units
Crystal system: tetragonal
Magnetization: 0.000 μB per atom
Volume: 131.0 Å³/cell
Energy: -20.1 eV per formula unit

abc: 9.4369 9.4369 9.4369
angles: 156.74 156.74 33.13
Closest atoms and distances in Å follow each position.
Atoms (fractional coordinates):
Sn 0.1124 0.1124 0.0000  4 Ge 3.13, 4 Pb 3.37
Sn 0.8876 0.8876 0.0000  4 Ge 3.13, 4 Pb 3.37
Ge 0.2500 0.7500 0.5000  4 Ge 2.69
Ge 0.7500 0.2500 0.5000  4 Ge 2.69
Pb 0.5000 0.5000 0.0000  8 Sn 3.37

Which value of volume does entry 7 give? 131.0 Å³/cell